1.
DFT (PBE-GGA) results for an optimized crystal structure of Pr2DyY6Er.

Results
As for the space group: C2/c. The density of states at the Fermi level is 28.6 states/eV per cell.

Lattice parameters (Å, degrees): 9.8229 8.7937 8.7937 117.75 95.14 95.14
With the nearest neighbours (Å) after each atom.
Fractional coordinates of all 20 atoms:
Pr 0.0443 0.2928 0.1931  5 Y 3.27-3.53, 2 Dy 3.36-3.40, 1 Er 3.55
Pr 0.9557 0.7072 0.8069  5 Y 3.27-3.53, 2 Dy 3.36-3.40, 1 Er 3.55
Pr 0.4557 0.8069 0.7072  5 Y 3.27-3.53, 2 Dy 3.36-3.40, 1 Er 3.55
Pr 0.5443 0.1931 0.2928  5 Y 3.27-3.53, 2 Dy 3.36-3.40, 1 Er 3.55
Y 0.8824 0.2956 0.5037  3 Pr 3.27-3.48, 4 Y 3.29-3.54, 2 Er 3.44-3.57
Y 0.8129 0.4237 0.9808  4 Y 3.29-3.67, 1 Pr 3.42, 1 Er 3.46, 1 Dy 3.58
Y 0.9430 0.8772 0.2560  8 Y 3.43-3.80, 1 Pr 3.53, 1 Dy 3.64, 1 Er 3.76
Y 0.1176 0.7044 0.4963  3 Pr 3.27-3.48, 4 Y 3.29-3.54, 2 Er 3.44-3.57
Y 0.3129 0.9808 0.4237  4 Y 3.29-3.67, 1 Pr 3.42, 1 Er 3.46, 1 Dy 3.58
Y 0.6871 0.0192 0.5763  4 Y 3.29-3.67, 1 Pr 3.42, 1 Er 3.46, 1 Dy 3.58
Y 0.4430 0.2560 0.8772  8 Y 3.43-3.80, 1 Pr 3.53, 1 Dy 3.64, 1 Er 3.76
Y 0.6176 0.4963 0.7044  3 Pr 3.27-3.48, 4 Y 3.29-3.54, 2 Er 3.44-3.57
Y 0.3824 0.5037 0.2956  3 Pr 3.27-3.48, 4 Y 3.29-3.54, 2 Er 3.44-3.57
Y 0.5570 0.7440 0.1228  8 Y 3.43-3.80, 1 Pr 3.53, 1 Dy 3.64, 1 Er 3.76
Y 0.0570 0.1228 0.7440  8 Y 3.43-3.80, 1 Pr 3.53, 1 Dy 3.64, 1 Er 3.76
Y 0.1871 0.5763 0.0192  4 Y 3.29-3.67, 1 Pr 3.42, 1 Er 3.46, 1 Dy 3.58
Er 0.2500 0.4056 0.5944  8 Y 3.44-3.76, 2 Pr 3.55
Er 0.7500 0.5944 0.4056  8 Y 3.44-3.76, 2 Pr 3.55
Dy 0.2500 0.9828 0.0172  4 Pr 3.36-3.40, 4 Y 3.58-3.64
Dy 0.7500 0.0172 0.9828  4 Pr 3.36-3.40, 4 Y 3.58-3.64

2.
DFT (PBE-GGA) results for an optimized crystal structure of Dy2Ho6Sc3In.

Results
As for the space group: C2/m. The density of states at the Fermi level is 14.8 states/eV per cell.

Lattice parameters (Å, degrees): 5.9500 5.9500 11.3170 95.01 95.01 120.00
With the nearest neighbours (Å) after each atom.
Fractional coordinates of all 12 atoms:
Sc 0.5000 0.5000 0.5000  6 Ho 3.35-3.36, 6 Sc 3.43-3.44
Sc 0.1662 0.8338 0.5000  6 Ho 3.34-3.37, 6 Sc 3.43-3.44
Sc 0.8338 0.1662 0.5000  6 Ho 3.34-3.37, 6 Sc 3.43-3.44
Dy 0.6663 0.3337 0.0000  3 Dy 3.43-3.44, 3 In 3.43-3.44, 6 Ho 3.49
Dy 0.3337 0.6663 0.0000  3 Dy 3.43-3.44, 3 In 3.43-3.44, 6 Ho 3.49
Ho 0.5834 0.9139 0.7430  3 Sc 3.35-3.37, 6 Ho 3.41-3.45, 1 In 3.47, 2 Dy 3.49
Ho 0.7558 0.7558 0.2574  3 Sc 3.34-3.36, 6 Ho 3.41-3.45, 1 In 3.48, 2 Dy 3.49
Ho 0.2442 0.2442 0.7426  3 Sc 3.34-3.36, 6 Ho 3.41-3.45, 1 In 3.48, 2 Dy 3.49
Ho 0.9139 0.5834 0.7430  3 Sc 3.35-3.37, 6 Ho 3.41-3.45, 1 In 3.47, 2 Dy 3.49
Ho 0.0861 0.4166 0.2570  3 Sc 3.35-3.37, 6 Ho 3.41-3.45, 1 In 3.47, 2 Dy 3.49
Ho 0.4166 0.0861 0.2570  3 Sc 3.35-3.37, 6 Ho 3.41-3.45, 1 In 3.47, 2 Dy 3.49
In 0.0000 0.0000 0.0000  6 Dy 3.43-3.44, 6 Ho 3.47-3.48

Here are the calculated density numbers, same order: 5.74 7.60 (g cm⁻³).
Here are the calculated total magnetic moment numbers, same order: 0.00 0.00 (μB/cell).
Here are the calculated formation enthalpy at 0 K numbers, same order: 112 -30 (meV per atom).